Compound: BeAgN
Source: Alexandria
Functional: PBE
Structure: relaxed

POSCAR file:
```
BeAgN
1.0
2.9475 -0.0133 -0.0062
1.4805 2.4712 -0.0101
1.5516 0.7589 9.7635
N Be Ag
2 2 2
direct
0.8280 0.2041 0.3506
0.6287 0.4431 0.5033
0.4953 0.8817 0.3383
0.9615 0.7657 0.5156
0.8465 0.4436 0.0513
0.5977 0.1988 0.8027
```

Properties
Spin magnetization   0.00 μB/atom
Density of states at the Fermi level   0.76 states/eV/cell
Space group   P1, No. 1
Formation energy without anion corrections   -0.58 eV/f.u.
Crystal system   triclinic

***

Compound: ZnIn3W
Source: Alexandria
Functional: PBE
Structure: relaxed

POSCAR file:
```
ZnIn3W
1.0
5.3555 0.0000 0.0000
0.0000 5.3555 0.0000
0.0000 0.0000 5.3555
In W Zn
3 1 1
direct
0.0000 0.5000 0.0000
0.0000 0.0000 0.5000
0.5000 0.0000 0.0000
0.0000 0.0000 0.0000
0.5000 0.5000 0.5000
```

Properties
Spin magnetization   0.01 μB/atom
Density of states at the Fermi level   6.13 states/eV/cell
Energy above the most stable polymorph in this dataset   0.000 eV per formula unit
Space group   Pm-3m, No. 221
Energy relative to the elements   0.83 eV/atom
Crystal system   cubic

***

Compound: CsCr2PRh
Source: Alexandria
Functional: PBE
Structure: relaxed

POSCAR file:
```
CsCr2PRh
1.0
-1.3474 4.5600 2.4948
-4.4677 0.2821 -2.9284
-2.6279 -2.8212 3.7374
Cr Rh Cs P
2 1 1 1
direct
0.0000 0.0000 0.5000
0.5000 0.0000 0.0000
0.5000 0.5000 0.5000
0.0000 0.0000 0.0000
0.0000 0.5000 0.0000
```

Properties
Spin magnetization   2.19 μB/atom
Density of states at the Fermi level   6.62 states/eV/cell
Space group   P4/mmm, No. 123
Energy relative to the elements   2.70 eV/atom
Crystal system   tetragonal

***

Compound: CuAs2Cl
Source: Alexandria
Functional: PBE
Structure: relaxed

POSCAR file:
```
CuAs2Cl
1.0
3.2144 -0.0148 0.0000
-0.5195 3.1722 0.0000
0.0000 0.0000 7.2786
As Cl Cu
2 1 1
direct
0.0000 0.0000 0.9462
0.0000 0.0000 0.5538
0.5000 0.5000 0.2500
0.5000 0.5000 0.7500
```

Properties
Spin magnetization   0.00 μB/atom
Density of states at the Fermi level   1.95 states/eV/cell
Energy above the most stable polymorph in this dataset   1.468 eV per formula unit
Space group   Cmmm, No. 65
Formation energy without anion corrections   0.78 eV/f.u.
Crystal system   orthorhombic

***

Compound: Zn5Pt
Source: Alexandria
Functional: PBE
Structure: relaxed

POSCAR file:
```
Zn5Pt
1.0
-0.7734 -2.7176 -0.5118
6.2642 -3.5803 1.4895
-1.2100 -0.4227 4.0729
Zn Pt
5 1
direct
0.3369 0.3262 0.0000
0.2246 0.5508 0.5000
0.5545 0.8910 0.5000
0.8877 0.2246 0.5000
0.6640 0.6720 0.0000
0.9990 0.0021 0.0000
```

Properties
Spin magnetization   0.00 μB/atom
Density of states at the Fermi level   1.23 states/eV/cell
Space group   Amm2, No. 38
Energy relative to the elements   -0.21 eV/atom
Crystal system   orthorhombic

***

Compound: LaPaHg2
Source: Alexandria
Functional: PBE
Structure: relaxed

POSCAR file:
```
LaPaHg2
1.0
-3.2309 -4.3378 0.0010
-1.2171 -2.4666 -4.6572
2.0392 -4.8911 -1.0832
Hg Pa La
2 1 1
direct
0.7500 0.7500 0.7500
0.2500 0.2500 0.2500
0.5000 0.5000 0.5000
0.0000 0.0000 0.0000
```

Properties
Spin magnetization   0.66 μB/atom
Density of states at the Fermi level   9.22 states/eV/cell
Energy above the most stable polymorph in this dataset   0.469 eV per formula unit
Space group   Fm-3m, No. 225
Energy relative to the elements   -0.03 eV/atom
Crystal system   cubic

***

Compound: Ga3AsS
Source: Alexandria
Functional: PBE
Structure: relaxed

POSCAR file:
```
Ga3AsS
1.0
-1.9156 3.6583 2.9145
-4.0618 -2.8628 0.9238
2.3194 -1.9920 4.0249
Ga As S
3 1 1
direct
0.0000 0.5000 0.0000
0.5000 0.0000 0.0000
0.0000 0.0000 0.5000
0.0000 0.0000 0.0000
0.5000 0.5000 0.5000
```

Properties
Spin magnetization   0.00 μB/atom
Density of states at the Fermi level   1.08 states/eV/cell
Energy above the most stable polymorph in this dataset   0.000 eV per formula unit
Space group   Pm-3m, No. 221
Formation energy without anion corrections   1.71 eV/f.u.
Crystal system   cubic

***

Compound: TlCuOs2
Source: Alexandria
Functional: PBE
Structure: relaxed

POSCAR file:
```
TlCuOs2
1.0
5.4014 0.0251 0.0114
2.5425 4.7656 -0.0114
-3.3692 -3.3948 2.5099
Os Tl Cu
2 1 1
direct
0.9957 0.9957 0.0000
0.7655 0.2655 0.5000
0.4985 0.4985 0.0000
0.2403 0.7403 0.5000
```

Properties
Spin magnetization   0.00 μB/atom
Density of states at the Fermi level   4.37 states/eV/cell
Energy above the most stable polymorph in this dataset   1.673 eV per formula unit
Space group   Imm2, No. 44
Energy relative to the elements   0.92 eV/atom
Crystal system   orthorhombic

***

Compound: Nd8CoIr3Br4
Source: Alexandria
Functional: PBE
Structure: relaxed

POSCAR file:
```
Nd8CoIr3Br4
1.0
-6.0903 -3.3959 -4.4248
5.9233 -1.8968 -6.6971
1.7864 -2.9425 7.5063
Nd Br Ir Co
8 4 3 1
direct
0.2608 0.3070 0.0338
0.2270 0.6930 0.9662
0.7392 0.6930 0.9662
0.2272 0.6931 0.4544
0.7728 0.3069 0.5456
0.7321 0.6962 0.4642
0.7730 0.3070 0.0338
0.2679 0.3038 0.5358
0.5000 0.0000 0.5000
0.0000 0.0000 0.0000
0.5000 0.0000 0.0000
0.0000 0.0000 0.5000
0.0000 0.5000 0.5000
0.5000 0.5000 0.5000
0.5000 0.5000 0.0000
0.0000 0.5000 0.0000
```

Properties
Spin magnetization   0.00 μB/atom
Density of states at the Fermi level   5.07 states/eV/cell
Space group   R-3m, No. 166
Formation energy without anion corrections   -15.95 eV/f.u.
Crystal system   trigonal

***

Compound: SrCu3S
Source: Alexandria
Functional: PBE
Structure: relaxed

POSCAR file:
```
SrCu3S
1.0
5.2645 0.0000 0.0000
0.0000 5.2645 0.0000
0.0000 0.0000 5.2645
Cu S Sr
3 1 1
direct
0.0000 0.5000 0.0000
0.0000 0.0000 0.5000
0.5000 0.0000 0.0000
0.5000 0.5000 0.5000
0.0000 0.0000 0.0000
```

Properties
Spin magnetization   0.00 μB/atom
Density of states at the Fermi level   6.48 states/eV/cell
Energy above the most stable polymorph in this dataset   7.238 eV per formula unit
Space group   Pm-3m, No. 221
Formation energy without anion corrections   7.99 eV/f.u.
Crystal system   cubic

***

Compound: LaTaCr2
Source: Alexandria
Functional: PBE
Structure: relaxed

POSCAR file:
```
LaTaCr2
1.0
3.6760 0.0000 0.0000
0.0000 2.9838 -0.0097
0.0000 1.6558 6.9727
Cr La Ta
2 1 1
direct
0.5000 0.2680 0.1612
0.0000 0.0350 0.0297
0.0000 0.4534 0.4739
0.5000 0.7436 0.8352
```

Properties
Spin magnetization   0.00 μB/atom
Density of states at the Fermi level   4.51 states/eV/cell
Energy above the most stable polymorph in this dataset   0.421 eV per formula unit
Space group   Pm, No. 6
Energy relative to the elements   0.50 eV/atom
Crystal system   monoclinic

***

Compound: RbTaCoSi2
Source: Alexandria
Functional: PBE
Structure: relaxed

POSCAR file:
```
RbTaCoSi2
1.0
-1.4717 2.5787 3.3551
-4.7834 -1.4329 -0.9968
0.4393 -3.4399 2.8366
Si Rb Co Ta
2 1 1 1
direct
0.0000 0.0000 0.5000
0.5000 0.0000 0.0000
0.0000 0.5000 0.0000
0.0000 0.0000 0.0000
0.5000 0.5000 0.5000
```

Properties
Spin magnetization   0.52 μB/atom
Density of states at the Fermi level   5.51 states/eV/cell
Space group   P4/mmm, No. 123
Formation energy without anion corrections   6.94 eV/f.u.
Crystal system   tetragonal

***

Compound: Tm2ScHg
Source: Alexandria
Functional: PBE
Structure: relaxed

POSCAR file:
```
Tm2ScHg
1.0
-0.1883 3.4293 0.7690
-2.4431 -0.6814 2.4402
6.0799 -0.9703 5.8162
Tm Sc Hg
2 1 1
direct
0.0000 0.0000 0.2369
0.0000 0.0000 0.7631
0.5000 0.5000 0.5000
0.5000 0.5000 0.0000
```

Properties
Spin magnetization   0.00 μB/atom
Density of states at the Fermi level   4.77 states/eV/cell
Energy above the most stable polymorph in this dataset   0.000 eV per formula unit
Space group   P4/mmm, No. 123
Energy relative to the elements   -0.22 eV/atom
Crystal system   tetragonal

***

Compound: DyThH
Source: Alexandria
Functional: PBE
Structure: relaxed

POSCAR file:
```
DyThH
1.0
-1.9781 -2.7968 -1.0819
3.1625 -0.5531 1.6119
-2.6732 -0.1219 5.2028
Dy Th H
1 1 1
direct
0.6667 0.3333 0.4224
0.0000 0.0000 0.9216
0.3333 0.6667 0.6560
```

Properties
Spin magnetization   0.00 μB/atom
Density of states at the Fermi level   2.38 states/eV/cell
Energy above the most stable polymorph in this dataset   0.000 eV per formula unit
Space group   P3m1, No. 156
Crystal system   trigonal

***

Compound: SrPr2Pb9
Source: Alexandria
Functional: PBE
Structure: relaxed

POSCAR file:
```
SrPr2Pb9
1.0
4.9797 0.0000 0.0000
0.0000 4.9797 0.0000
0.0000 0.0000 14.8915
Pb Pr Sr
9 2 1
direct
0.5000 0.0000 0.5000
0.0000 0.5000 0.5000
0.5000 0.5000 0.6661
0.5000 0.5000 0.0000
0.0000 0.5000 0.1693
0.5000 0.0000 0.8307
0.5000 0.0000 0.1693
0.0000 0.5000 0.8307
0.5000 0.5000 0.3339
0.0000 0.0000 0.6626
0.0000 0.0000 0.3374
0.0000 0.0000 0.0000
```

Properties
Spin magnetization   0.00 μB/atom
Density of states at the Fermi level   5.53 states/eV/cell
Space group   P4/mmm, No. 123
Energy relative to the elements   -0.38 eV/atom
Crystal system   tetragonal

***

Compound: CaTcRu2
Source: Alexandria
Functional: PBE
Structure: relaxed

POSCAR file:
```
CaTcRu2
1.0
-2.2446 -1.3434 -0.9413
1.1242 -2.4216 0.7753
-3.7131 0.7626 7.7658
Ru Tc Ca
2 1 1
direct
0.0000 0.0000 0.0390
0.5000 0.5000 0.2385
0.0000 0.0000 0.4646
0.5000 0.5000 0.7579
```

Properties
Spin magnetization   0.00 μB/atom
Density of states at the Fermi level   4.92 states/eV/cell
Energy above the most stable polymorph in this dataset   0.558 eV per formula unit
Space group   P4mm, No. 99
Energy relative to the elements   0.43 eV/atom
Crystal system   tetragonal

***

Compound: Ti2Zn17
Source: Alexandria
Functional: PBE
Structure: relaxed

POSCAR file:
```
Ti2Zn17
1.0
6.4835 -0.4212 1.3716
1.0240 6.4160 1.3716
-0.5275 -0.4212 6.6060
Zn Ti
17 2
direct
0.8980 0.8980 0.8980
0.6916 0.0000 0.3084
0.1020 0.1020 0.1020
0.3084 0.6916 0.0000
0.0000 0.6916 0.3084
0.6440 0.6440 0.1636
0.0000 0.0000 0.5000
0.1636 0.6440 0.6440
0.6916 0.3084 0.0000
0.3560 0.3560 0.8364
0.3560 0.8364 0.3560
0.0000 0.5000 0.0000
0.0000 0.3084 0.6916
0.5000 0.0000 0.0000
0.3084 0.0000 0.6916
0.6440 0.1636 0.6440
0.8364 0.3560 0.3560
0.6713 0.6713 0.6713
0.3287 0.3287 0.3287
```

Properties
Spin magnetization   0.00 μB/atom
Density of states at the Fermi level   8.19 states/eV/cell
Space group   R-3m, No. 166
Energy relative to the elements   -0.02 eV/atom
Crystal system   trigonal

***

Compound: VTcSb2
Source: Alexandria
Functional: PBE
Structure: relaxed

POSCAR file:
```
VTcSb2
1.0
4.2876 0.0000 0.0000
0.0000 4.2876 0.0000
2.1438 2.1438 9.1284
V Tc Sb
2 2 4
direct
0.2500 0.7500 0.5000
0.5000 0.5000 0.0000
0.7500 0.2500 0.5000
0.0000 0.0000 0.0000
0.1199 0.6250 0.2500
0.6301 0.1250 0.2500
0.8750 0.8801 0.7500
0.3750 0.3699 0.7500
```

Properties
Spin magnetization   0.34 μB/atom
Density of states at the Fermi level   10.21 states/eV/cell
Energy above the most stable polymorph in this dataset   1.663 eV per formula unit
Space group   I-42d, No. 122
Formation energy without anion corrections   2.21 eV/f.u.
Crystal system   tetragonal

***

Compound: Rb2NaTlF
Source: Alexandria
Functional: PBE
Structure: relaxed

POSCAR file:
```
Rb2NaTlF
1.0
-1.5797 -5.2710 -1.6470
0.0515 -1.7271 5.4778
-5.0716 1.3701 0.4796
Tl Na Rb F
1 1 2 1
direct
0.5000 0.5000 0.5000
0.0000 0.0000 0.5000
0.0000 0.5000 0.0000
0.5000 0.0000 0.0000
0.0000 0.0000 0.0000
```

Properties
Spin magnetization   0.00 μB/atom
Density of states at the Fermi level   2.68 states/eV/cell
Space group   P4/mmm, No. 123
Formation energy without anion corrections   -4.83 eV/f.u.
Crystal system   tetragonal

***

Compound: Rb3Np2AgS6
Source: Alexandria
Functional: PBE
Structure: relaxed

POSCAR file:
```
Rb3Np2AgS6
1.0
-2.4681 -4.3038 -5.0132
-3.0421 0.1403 6.3618
-2.9369 6.8717 -2.8329
S Np Rb Ag
6 2 3 1
direct
0.4217 0.0640 0.1939
0.0640 0.4217 0.1939
0.7099 0.7099 0.1880
0.2901 0.2901 0.8120
0.5783 0.9360 0.8061
0.9360 0.5783 0.8061
0.6673 0.3327 0.0000
0.3327 0.6673 0.0000
0.1570 0.8430 0.5000
0.5000 0.5000 0.5000
0.8430 0.1570 0.5000
0.0000 0.0000 0.0000
```

Properties
Spin magnetization   0.50 μB/atom
Density of states at the Fermi level   14.51 states/eV/cell
Space group   C2/m, No. 12
Formation energy without anion corrections   -13.84 eV/f.u.
Crystal system   monoclinic